1.
First-principles (SCAN) data for a crystal of Tl3OF relaxed with PBEsol, as listed in Alexandria via LeMat-Bulk.

a = 5.031 Å, b = 5.031 Å, c = 5.031 Å
α = 90.00°, β = 90.00°, γ = 90.00°
Each line ends with the local moment (μB).
Positions (direct):
Tl 0.000 0.500 0.000  0.00
O 0.000 0.000 0.000  0.19
F 0.500 0.500 0.500  0.00
Tl 0.500 0.000 0.000  0.00
Tl 0.000 0.000 0.500  0.00

Values from the calculation:
VASP energy: -229.69 eV for the cell shown
ΔE_f (raw): -0.5696 eV/atom

---

2.
First-principles (SCAN) data for a crystal of TlOF relaxed with PBEsol, as listed in Alexandria via LeMat-Bulk.

a = 9.210 Å, b = 9.210 Å, c = 9.921 Å
α = 110.32°, β = 110.32°, γ = 106.30°
Each line ends with the local moment (μB).
Positions (direct):
F 0.213 0.213 0.251  0.00
O 0.716 0.475 0.016  0.06
O 0.456 0.995 0.234  0.00
F 0.181 0.978 0.955  0.00
F 0.086 0.764 0.525  0.00
O 0.514 0.783 0.500  0.00
O 0.475 0.716 0.016  0.06
O 0.974 0.713 0.968  0.01
Tl 0.701 0.962 0.218  0.00
O 0.713 0.974 0.968  0.01
O 0.765 0.765 0.287  -0.01
O 0.524 0.270 0.523  0.00
F 0.509 0.046 0.732  0.00
Tl 0.249 0.511 0.261  0.00
O 0.475 0.475 0.266  0.00
Tl 0.505 0.771 0.723  0.00
Tl 0.511 0.249 0.261  0.00
F 0.318 0.813 0.811  0.00
F 0.978 0.181 0.955  0.00
Tl 0.771 0.505 0.723  0.00
Tl 0.994 0.468 0.465  0.00
Tl 0.728 0.728 0.475  0.00
O 0.783 0.514 0.500  0.00
Tl 0.497 0.497 0.044  0.00
O 0.220 0.753 0.259  0.00
Tl 0.962 0.701 0.218  0.00
Tl 0.016 0.262 0.762  0.00
F 0.964 0.964 0.227  0.00
O 0.753 0.220 0.259  0.00
O 0.270 0.524 0.523  0.00
F 0.764 0.086 0.525  0.00
O 0.468 0.218 0.003  0.05
F 0.813 0.318 0.811  0.00
Tl 0.240 0.734 0.020  0.00
Tl 0.262 0.016 0.762  0.00
F 0.239 0.036 0.509  0.00
F 0.292 0.292 0.766  0.00
F 0.046 0.509 0.732  0.00
O 0.218 0.468 0.003  0.05
Tl 0.301 0.301 0.535  0.00
F 0.996 0.996 0.669  0.00
O 0.995 0.456 0.234  0.00
F 0.778 0.778 0.730  0.00
Tl 0.734 0.240 0.020  0.00
Tl 0.468 0.994 0.465  0.00
F 0.558 0.558 0.772  0.00
F 0.036 0.239 0.509  0.00
Tl 0.969 0.969 0.008  0.00

Values from the calculation:
VASP energy: -1373.49 eV for the cell shown
ΔE_f (raw): -1.2378 eV/atom

---

3.
First-principles (SCAN) data for a crystal of TlO2F2 relaxed with PBEsol, as listed in Alexandria via LeMat-Bulk.

a = 3.600 Å, b = 3.600 Å, c = 4.454 Å
α = 90.00°, β = 90.00°, γ = 90.00°
Each line ends with the local moment (μB).
Positions (direct):
O 0.000 0.500 0.000  0.52
F 0.000 0.000 0.000  -0.10
F 0.000 0.000 0.500  -0.01
O 0.500 0.000 0.000  0.52
Tl 0.500 0.500 0.500  0.06

Values from the calculation:
VASP energy: -90.45 eV for the cell shown
ΔE_f (raw): 0.2898 eV/atom

---

Q: What is the formula in the first record?
A: Tl3OF

---

Q: Number 2 is which compound?
A: TlOF